1) Tb2PrIn, optimized geometry, DFT PBE; spin magnetization = 0.00 μB per formula unit; N(E_F) = 3.9 states/eV/cell; space group = No. 123
1.0
3.634 0.000 0.000
0.000 3.634 0.000
0.000 0.000 9.293
Pr Tb In
1 2 1
Direct
0.500 0.500 0.500
0.000 0.000 0.779
0.000 0.000 0.221
0.500 0.500 0.000

=====

2) Tb2PrIn, optimized geometry, DFT PBE; spin magnetization = 0.01 μB per formula unit; N(E_F) = 6.8 states/eV/cell; space group = No. 166
1.0
3.519 0.000 0.000
1.760 3.048 0.000
1.760 1.016 11.960
Pr Tb In
1 2 1
Direct
0.000 0.000 0.000
0.097 0.097 0.710
0.903 0.903 0.290
0.500 0.500 0.500

=====

Most stable one: 1), least stable one: 2).

=====

1) Tb3PrIn4, optimized geometry, DFT PBE; spin magnetization = 0.00 μB per formula unit; N(E_F) = 6.7 states/eV/cell; space group = No. 123
1.0
-0.029 5.242 1.216
-0.196 -1.720 7.410
10.757 -0.006 0.284
Pr Tb In
2 6 8
Direct
0.000 0.500 0.000
0.000 0.500 0.500
0.000 0.000 0.000
0.000 0.000 0.500
0.499 0.000 0.750
0.501 0.000 0.250
0.499 0.500 0.750
0.501 0.500 0.250
0.500 0.757 0.000
0.500 0.757 0.500
0.500 0.243 0.000
0.500 0.243 0.500
0.999 0.757 0.750
0.001 0.757 0.250
0.001 0.243 0.250
0.999 0.243 0.750

=====

2) Tb3PrIn4, optimized geometry, DFT PBE; spin magnetization = 0.13 μB per formula unit; N(E_F) = 6.8 states/eV/cell; space group = No. 71
1.0
-1.114 -2.310 2.333
-2.243 -4.316 -5.344
10.125 -0.906 1.362
Tb Pr In
3 1 4
Direct
0.000 0.500 0.000
0.219 0.219 0.438
0.781 0.781 0.562
0.500 0.000 0.000
0.371 0.579 0.743
0.629 0.421 0.257
0.628 0.836 0.257
0.372 0.164 0.743

=====

Most stable one: 1), least stable one: 2).

=====

1) TbPr2In4, optimized geometry, DFT PBE; spin magnetization = 1.49 μB per formula unit; N(E_F) = 10.7 states/eV/cell; space group = No. 139
1.0
-2.910 4.061 -2.676
-4.585 -3.330 -0.068
1.427 2.683 8.519
Tb Pr In
1 2 4
Direct
0.000 0.000 0.000
0.611 0.611 0.223
0.389 0.389 0.777
0.813 0.813 0.626
0.187 0.187 0.374
0.000 0.500 0.000
0.500 0.000 0.000

=====

2) TbPr2In4, optimized geometry, DFT PBE; spin magnetization = 0.00 μB per formula unit; N(E_F) = 5.6 states/eV/cell; space group = No. 139
1.0
-4.955 1.963 -0.236
-0.745 -2.442 -4.684
0.264 -5.855 6.048
Pr Tb In
2 1 4
Direct
0.748 0.748 0.496
0.252 0.252 0.504
0.000 0.000 0.000
0.391 0.891 0.781
0.891 0.391 0.781
0.609 0.109 0.219
0.109 0.609 0.219

=====

Most stable one: 2), least stable one: 1).